Record 1
The following is a PBE-GGA calculation of crystalline NiH2Au at its relaxed geometry, from Alexandria.

Unit cell a=2.7905 b=2.7905 c=16.2017 alpha=90.00 beta=90.00 gamma=120.00
With the nearest neighbours (Å) after each atom.
Space group R3m (No. 160, hexagonal axes)
Asymmetric unit:
Ni (0.0000, 0.0000, 0.0000)  6 H 1.71-1.73
H (0.0000, 0.0000, 0.3679)  3 Ni 1.71
H (0.0000, 0.0000, 0.6280)  3 Ni 1.73
Au (0.0000, 0.0000, 0.8281)  6 H 2.61-2.69, 1 Ni 2.79, 6 Au 2.79

Summary:
- raw total energy (eV per atom) = -3.834
- crystal system = trigonal
- spin magnetization (μB per formula unit) = 0.0
- calculated volume (Å³/atom) = 9.10

Record 2
The following is a PBE-GGA calculation of crystalline Ni2HAu2 at its relaxed geometry, from Alexandria.

Unit cell a=5.4581 b=5.4581 c=4.4649 alpha=90.00 beta=90.00 gamma=90.00
With the nearest neighbours (Å) after each atom.
Space group P4/mbm (No. 127)
Asymmetric unit:
Ni (0.1545, 0.3455, 0.0000)  1 Ni 2.38, 2 Au 2.59
H (0.0000, 0.0000, 0.5000)  4 Au 2.01
Au (0.1767, 0.6767, 0.5000)  2 H 2.01

Summary:
- raw total energy (eV per atom) = -3.869
- crystal system = tetragonal
- spin magnetization (μB per formula unit) = 1.0
- calculated volume (Å³/atom) = 13.30

Record 3
The following is a PBE-GGA calculation of crystalline NiHAu2 at its relaxed geometry, from Alexandria.

Unit cell a=2.7691 b=2.9302 c=6.5567 alpha=89.88 beta=89.27 gamma=89.99
With the nearest neighbours (Å) after each atom.
Space group P-1 (No. 2)
Asymmetric unit:
Ni (0.0000, 0.0000, 0.0000)  8 Au 2.71, 4 Ni 2.77-2.93
H (0.0000, 0.5000, 0.5000)  4 Au 1.99-2.05
Au (0.4910, 0.4985, 0.2755)  2 H 1.99-2.05

Summary:
- raw total energy (eV per atom) = -3.711
- crystal system = triclinic
- spin magnetization (μB per formula unit) = 0.1
- calculated volume (Å³/atom) = 13.30

What is the calculated volume in the second record? 13.30 Å³/atom

What is the spin magnetization in the second record? 1.0 μB per formula unit

Copy entry 3 word for word.
The following is a PBE-GGA calculation of crystalline NiHAu2 at its relaxed geometry, from Alexandria.

Unit cell a=2.7691 b=2.9302 c=6.5567 alpha=89.88 beta=89.27 gamma=89.99
With the nearest neighbours (Å) after each atom.
Space group P-1 (No. 2)
Asymmetric unit:
Ni (0.0000, 0.0000, 0.0000)  8 Au 2.71, 4 Ni 2.77-2.93
H (0.0000, 0.5000, 0.5000)  4 Au 1.99-2.05
Au (0.4910, 0.4985, 0.2755)  2 H 1.99-2.05

Summary:
- raw total energy (eV per atom) = -3.711
- crystal system = triclinic
- spin magnetization (μB per formula unit) = 0.1
- calculated volume (Å³/atom) = 13.30

Please write out number 2 again, unchanged.
The following is a PBE-GGA calculation of crystalline Ni2HAu2 at its relaxed geometry, from Alexandria.

Unit cell a=5.4581 b=5.4581 c=4.4649 alpha=90.00 beta=90.00 gamma=90.00
With the nearest neighbours (Å) after each atom.
Space group P4/mbm (No. 127)
Asymmetric unit:
Ni (0.1545, 0.3455, 0.0000)  1 Ni 2.38, 2 Au 2.59
H (0.0000, 0.0000, 0.5000)  4 Au 2.01
Au (0.1767, 0.6767, 0.5000)  2 H 2.01

Summary:
- raw total energy (eV per atom) = -3.869
- crystal system = tetragonal
- spin magnetization (μB per formula unit) = 1.0
- calculated volume (Å³/atom) = 13.30